This record from Alexandria describes a relaxed Ba2CuBiS5 crystal. The functional is PBE.

Calculated values
Formation energy from raw total energies = -0.9995 eV/atom

Cell lengths 4.1736, 18.1721, 12.9582 Å; angles 90.00, 90.00, 90.00 degrees
Space group Cmc2_1 (No. 36)
Unique sites:
Ba 0.0000 0.1193 0.0000
Ba 0.0000 0.1262 0.6367
Cu 0.0000 0.4423 0.7075
Bi 0.0000 0.2034 0.3322
S 0.0000 0.0371 0.2682
S 0.0000 0.2955 0.9778
S 0.0000 0.3137 0.6793
S 0.0000 0.3472 0.3195
S 0.0000 0.4928 0.0585